Entry 1:
CoRe (PBE, optimized geometry); DOS at the Fermi energy = 2.32 states/eV/f.u.; energy = -9.5510 eV per atom; theoretical density = 15.643 Mg/m³; crystal system = cubic; space-group type = Fd-3m
1.0
4.1910 -0.0036 -0.0026
2.0989 3.6275 -0.0026
2.0989 1.2093 3.4200
Co Re
2 2
direct
0.1250 0.1250 0.1250
0.8750 0.8750 0.8750
0.3750 0.3750 0.3750
0.6250 0.6250 0.6250

Entry 2:
Ho3Al2H (PBE, optimized geometry); DOS at the Fermi energy = 3.66 states/eV/f.u.; energy = -4.4007 eV per atom; theoretical density = 7.050 Mg/m³; crystal system = monoclinic; space-group type = C2/c
1.0
-2.4994 -3.3310 4.4656
4.2787 -4.6524 -1.0755
4.6861 5.1782 2.3108
Ho Al H
6 4 2
direct
0.4209 0.2500 0.0000
0.5791 0.7500 0.0000
0.0280 0.1162 0.2637
0.7643 0.3838 0.7363
0.2357 0.6162 0.2637
0.9720 0.8838 0.7363
0.7862 0.5413 0.3616
0.5754 0.0413 0.3616
0.4246 0.9587 0.6384
0.2138 0.4587 0.6384
0.9387 0.7500 0.0000
0.0613 0.2500 0.0000

Entry 3:
K2AlCd (PBE, optimized geometry); DOS at the Fermi energy = 2.25 states/eV/f.u.; energy = -1.4312 eV per atom; theoretical density = 2.599 Mg/m³; crystal system = tetragonal; space-group type = I4/mmm; excess energy over the best structure of this formula in the dataset = 199 meV per atom
1.0
6.5758 0.0894 0.0000
2.6795 6.0058 0.0000
-4.6277 -3.0476 3.5420
K Al Cd
2 1 1
direct
0.0000 0.0000 0.0000
0.5000 0.5000 0.0000
0.2500 0.7500 0.5000
0.7500 0.2500 0.5000

Entry 4:
ZnNiB (PBE, optimized geometry); DOS at the Fermi energy = 0.59 states/eV/f.u.; energy = -4.5881 eV per atom; theoretical density = 6.767 Mg/m³; crystal system = orthorhombic; space-group type = Cmcm
1.0
2.7724 0.0000 0.0000
0.0000 2.9355 0.0000
-1.3862 0.0000 8.1362
B Zn Ni
2 2 2
direct
0.4696 0.7500 0.9391
0.5304 0.2500 0.0609
0.8050 0.7500 0.6099
0.1950 0.2500 0.3901
0.9301 0.2500 0.8602
0.0699 0.7500 0.1398

Entry 5:
TbPrLuHg (PBE, optimized geometry); DOS at the Fermi energy = 5.25 states/eV/f.u.; energy = -3.6353 eV per atom; theoretical density = 9.723 Mg/m³; crystal system = cubic; space-group type = F-43m
1.0
5.4639 0.0000 0.0000
2.7319 4.7318 0.0000
2.7319 1.5773 4.4612
Pr Lu Tb Hg
1 1 1 1
direct
0.0000 0.0000 0.0000
0.2500 0.2500 0.2500
0.5000 0.5000 0.5000
0.7500 0.7500 0.7500

Entry 6:
RbAgHgF6 (PBE, optimized geometry); uncorrected formation energy = -1583 meV per atom; energy = -3.2887 eV per atom; theoretical density = 4.552 Mg/m³; crystal system = triclinic; space-group type = P1
1.0
-3.8285 -0.0665 -5.5003
0.1288 -4.0511 -4.1905
-4.3754 -3.0589 2.4346
Rb Ag Hg F
1 1 1 6
direct
0.0201 0.9644 0.9989
0.3362 0.3278 0.4993
0.7233 0.5520 0.5012
0.9896 0.4271 0.2278
0.3313 0.0305 0.6653
0.5770 0.4371 0.7750
0.0281 0.6202 0.6733
0.3525 0.6154 0.3269
0.6418 0.0255 0.3323

Entry 7:
RbTlGe (PBE, optimized geometry); DOS at the Fermi energy = 1.09 states/eV/f.u.; energy = -2.6461 eV per atom; theoretical density = 5.072 Mg/m³; crystal system = monoclinic; space-group type = Pm
1.0
-4.6383 4.8590 -1.1952
-1.3684 -0.3079 4.0591
3.0344 8.0829 1.6360
Tl Ge Rb
2 2 2
direct
0.7915 0.0000 0.6730
0.2983 0.0000 0.6736
0.7156 0.0000 0.3311
0.6249 0.5000 0.5125
0.8875 0.5000 0.9865
0.2245 0.5000 0.3133

Entry 8:
BeCu2Ir (PBE, optimized geometry); DOS at the Fermi energy = 1.02 states/eV/f.u.; energy = -5.3439 eV per atom; theoretical density = 11.677 Mg/m³; crystal system = orthorhombic; space-group type = Pmmm
1.0
2.9545 0.0000 0.0000
0.0000 3.8117 0.0000
0.0000 0.0000 4.1456
Be Ir Cu
1 1 2
direct
0.0000 0.5000 0.5000
0.5000 0.0000 0.5000
0.0000 0.0000 0.0000
0.5000 0.5000 0.0000

Entry 9:
Er2H2SeS (PBE, optimized geometry); DOS at the Fermi energy = 0.00 states/eV/f.u.; energy = -5.3736 eV per atom; theoretical density = 8.015 Mg/m³; crystal system = trigonal; space-group type = P-3m1
1.0
3.7584 0.0000 0.0000
-1.8792 3.2549 0.0000
0.0000 0.0000 7.5798
Er H Se S
2 2 1 1
direct
0.3333 0.6667 0.7406
0.6667 0.3333 0.2594
0.3333 0.6667 0.2554
0.6667 0.3333 0.7446
0.0000 0.0000 0.0000
0.0000 0.0000 0.5000

Entry 10:
In2Br3Cl (PBE, optimized geometry); uncorrected formation energy = -828 meV per atom; DOS at the Fermi energy = 0.00 states/eV/f.u.; energy = -2.8852 eV per atom; theoretical density = 3.465 Mg/m³; crystal system = monoclinic; space-group type = P2_1/c
1.0
-6.8361 -0.5566 -15.6321
9.4212 -0.0297 -4.1189
1.7871 -5.3700 4.1264
In Br Cl
8 12 4
direct
0.6483 0.8823 0.1955
0.8517 0.3823 0.3045
0.3517 0.1177 0.8045
0.1483 0.6177 0.6955
0.3979 0.7760 0.3483
0.1021 0.2760 0.1517
0.6021 0.2240 0.6517
0.8979 0.7240 0.8483
0.2568 0.9055 0.9800
0.2432 0.4055 0.5200
0.7432 0.0945 0.0200
0.7568 0.5945 0.4800
0.3609 0.5437 0.1876
0.1391 0.0437 0.3124
0.6391 0.4563 0.8124
0.8609 0.9563 0.6876
0.8934 0.7005 0.2040
0.6066 0.2005 0.2960
0.1066 0.2995 0.7960
0.3934 0.7995 0.7040
0.5602 0.8424 0.4850
0.9398 0.3424 0.0150
0.4398 0.1576 0.5150
0.0602 0.6576 0.9850

Entry 11:
Mg4Se3 (PBE, optimized geometry); uncorrected formation energy = -874 meV per atom; energy = -3.2786 eV per atom; theoretical density = 2.902 Mg/m³; crystal system = cubic; space-group type = P-43m; excess energy over the best structure of this formula in the dataset = 2 meV per atom
1.0
5.7608 0.0000 0.0000
0.0000 5.7608 0.0000
0.0000 0.0000 5.7608
Mg Se
4 3
direct
0.2267 0.7733 0.2267
0.7733 0.2267 0.2267
0.7733 0.7733 0.7733
0.2267 0.2267 0.7733
0.5000 0.0000 0.5000
0.5000 0.5000 0.0000
0.0000 0.5000 0.5000

Entry 12:
SnSb6 (PBE, optimized geometry); uncorrected formation energy = 536 meV per atom; DOS at the Fermi energy = 4.53 states/eV/f.u.; energy = -3.5689 eV per atom; theoretical density = 4.828 Mg/m³; crystal system = cubic; space-group type = Im-3m
1.0
-2.2724 1.2665 -6.7560
3.2141 -6.4804 0.2900
-5.6643 0.0882 4.5076
Sn Sb
1 6
direct
0.0000 0.0000 0.0000
0.2500 0.7500 0.5000
0.5000 0.7500 0.2500
0.2500 0.5000 0.7500
0.7500 0.2500 0.5000
0.5000 0.2500 0.7500
0.7500 0.5000 0.2500